Entry from Alexandria via LeMat-Bulk: a geometry-optimized Li3Pa3NiSe8 structure (PBE).

abc: 7.911 7.909 8.024
angles: 119.52 90.00 120.01
Site moments in Bohr magnetons follow the coordinates.
Sites, in units of the cell vectors:
Se  0.766  0.004  0.741  0.01
Se  0.238  0.004  0.741  0.01
Se  0.234  0.996  0.259  0.01
Se  0.756  0.513  0.769  -0.02
Se  0.762  0.996  0.259  0.01
Se  0.244  0.487  0.231  -0.02
Se  0.763  0.527  0.259  0.01
Se  0.237  0.473  0.741  0.01
Pa  0.500  0.000  0.500  0.98
Pa  0.500  0.500  0.500  0.98
Pa  0.000  0.500  0.500  0.98
Li  0.000  0.000  0.000  0.00
Li  0.000  0.500  0.000  0.00
Li  0.500  0.500  0.000  0.00
Ni  0.000  0.000  0.500  0.89

Summary:
ρ: 6.5 g cm⁻³
SG: No. 12
Energy relative to the elements, uncorrected: -1.109 eV/atom
DOS at the Fermi energy: 1.36 states/eV/atom

=====

Entry from Alexandria via LeMat-Bulk: a geometry-optimized TlRe2Ag structure (PBE).

abc: 9.753 9.753 9.753
angles: 17.01 17.01 17.01
Sites, in units of the cell vectors:
Re  0.498  0.498  0.498
Re  0.002  0.002  0.002
Tl  0.250  0.250  0.250
Ag  0.750  0.750  0.750

Summary:
ρ: 16.4 g cm⁻³
SG: No. 166
E above lowest polymorph: 550.1 meV/atom
DOS at the Fermi energy: 0.88 states/eV/atom
Formation enthalpy at 0 K: 1.01 eV per atom

=====

Entry from Alexandria via LeMat-Bulk: a geometry-optimized NaTaAg2Se4 structure (PBE).

abc: 6.736 6.675 6.675
angles: 69.99 59.70 59.70
Sites, in units of the cell vectors:
Se  0.136  0.861  0.483
Se  0.864  0.517  0.139
Se  0.520  0.483  0.861
Se  0.480  0.139  0.517
Ag  0.000  0.312  0.688
Ag  0.000  0.688  0.312
Na  0.500  0.000  0.000
Ta  0.500  0.500  0.500

Summary:
ρ: 5.5 g cm⁻³
SG: No. 23
Energy relative to the elements, uncorrected: -0.513 eV/atom

=====

Entry from Alexandria via LeMat-Bulk: a geometry-optimized Ag2TeI structure (PBE).

abc: 5.290 5.290 5.290
angles: 60.00 60.00 60.00
Sites, in units of the cell vectors:
Ag  0.250  0.250  0.250
Ag  0.750  0.750  0.750
I  0.500  0.500  0.500
Te  0.000  0.000  0.000

Summary:
ρ: 7.5 g cm⁻³
SG: No. 225
Energy relative to the elements, uncorrected: 0.312 eV/atom
E above lowest polymorph: 441.1 meV/atom
DOS at the Fermi energy: 0.95 states/eV/atom